{
  "formula": "PuFe2HgO6",
  "functional": "PBE with a Hubbard U",
  "state": "optimized geometry",
  "spacegroup": "P1, No. 1",
  "volume_a3_per_atom": 13.64,
  "total_energy_ev_per_atom": -7.130,
  "lattice": [[-4.309, -3.156, 0.832], [-0.592, -2.227, 5.123], [-4.479, 2.105, 3.475]],
  "species": ["Pu", "Fe", "Fe", "Hg", "O", "O", "O", "O", "O", "O"],
  "fractional_positions": [[0.326, 0.323, 0.032], [0.512, 0.552, 0.415], [0.046, 0.967, 0.964], [0.805, 0.830, 0.579], [0.531, 0.286, 0.243], [0.211, 0.913, 0.247], [0.923, 0.584, 0.221], [0.407, 0.723, 0.735], [0.733, 0.123, 0.800], [0.167, 0.360, 0.778]]
}